No. 1
Below is a geometry-optimized Ti3ZnC structure, with properties calculated at the GGA-PBE level.

Energy relative to the elements   -0.3685 eV/atom
Calculated density   5.068 g/cm³
Offset from the most stable computed form   119 meV per atom
DFT total energy   -144.10 eV for the cell shown

Cell lengths 7.4803, 5.3833, 7.8474 Å; angles 90.00, 113.57, 90.00 degrees
Closest atoms and distances in Å follow each position.
Space group P2_1/c (No. 14)
Asymmetric unit:
1 Ti 0.0598 0.0802 0.3540 [4 per cell]  3 C 2.13-2.19
2 Ti 0.1943 0.5698 0.5420 [4 per cell]  2 C 2.09-2.10
3 Ti 0.3519 0.1173 0.7624 [4 per cell]  1 C 2.08
4 Zn 0.4036 0.6640 0.9055 [4 per cell]  1 Zn 2.39, 3 Ti 2.64-2.66
5 C 0.0735 0.2486 0.1051 [4 per cell]  6 Ti 2.08-2.19

***

No. 2
Below is a geometry-optimized Ti3ZnC structure, with properties calculated at the GGA-PBE level.

Energy relative to the elements   -0.2464 eV/atom
Calculated density   4.920 g/cm³
Offset from the most stable computed form   241 meV per atom
DFT total energy   -141.66 eV for the cell shown

Cell lengths 5.0172, 11.7823, 5.0480 Å; angles 90.00, 90.00, 90.00 degrees
Closest atoms and distances in Å follow each position.
Space group Pnma (No. 62)
Asymmetric unit:
1 Ti 0.0021 0.1308 0.0569 [8 per cell]  2 C 2.12
2 Ti 0.0022 0.2500 0.5691 [4 per cell]  2 C 2.04
3 Zn 0.0000 0.0000 0.5000 [4 per cell]  8 Ti 2.72-2.97
4 C 0.2479 0.7500 0.7501 [4 per cell]  6 Ti 2.04-2.12

***

no.,density of states at the Fermi level (states/eV per cell)
1,22.85
2,19.48